1.
Fe2SnF | GGA+U | relaxed

Results
VASP energy = -0.15181 hartree per atom
space group = Fm-3m, No. 225
Fermi-level density of states = 2.79 states/eV/cell

abc: 4.5679 4.5679 4.5679
angles: 60.00 60.00 60.00
Positions (direct):
F (0.0000, 0.0000, 0.0000)
Sn (0.5000, 0.5000, 0.5000)
Fe (0.2500, 0.2500, 0.2500)
Fe (0.7500, 0.7500, 0.7500)

2.
K2ErV2O6 | GGA+U | relaxed

Results
VASP energy = -0.25175 hartree per atom
space group = R-3m, No. 166

abc: 6.0907 6.0907 6.9537
angles: 64.03 64.03 60.00
Positions (direct):
K (0.7914, 0.7914, 0.6257)
K (0.2086, 0.2086, 0.3743)
Er (0.0000, 0.0000, 0.0000)
V (0.4186, 0.4186, 0.7441)
V (0.5814, 0.5814, 0.2559)
O (0.7553, 0.7553, 0.2319)
O (0.2574, 0.7553, 0.2319)
O (0.7553, 0.2574, 0.2319)
O (0.2447, 0.7426, 0.7681)
O (0.7426, 0.2447, 0.7681)
O (0.2447, 0.2447, 0.7681)